1.
Here is a relaxed structure of RbVSe4 from Alexandria. Energies are from PBE-GGA.

Geometry as POSCAR:
```
RbVSe4
1.0
4.112 -8.134 0.000
4.112 8.134 0.000
-0.316 0.000 6.009
Rb V Se
2 2 8
Direct
0.137 0.863 0.750 Rb
0.863 0.137 0.250 Rb
0.448 0.552 0.250 V
0.552 0.448 0.750 V
0.233 0.604 0.406 Se
0.273 0.310 0.941 Se
0.310 0.273 0.441 Se
0.396 0.767 0.094 Se
0.604 0.233 0.906 Se
0.690 0.727 0.559 Se
0.727 0.690 0.059 Se
0.767 0.396 0.594 Se
```

Excess energy over the best structure of this formula in the dataset ... 0 meV per atom
E_form (uncorrected) ... -3.8 eV per formula unit
Space group ... C2/c, No. 15

=====

2.
Here is a relaxed structure of RbV4Se8 from Alexandria. Energies are from PBE-GGA.

Geometry as POSCAR:
```
RbV4Se8
1.0
8.603 -1.794 0.000
8.603 1.794 0.000
-7.729 0.000 9.283
Rb V Se
1 4 8
Direct
0.000 0.000 0.000 Rb
0.155 0.155 0.479 V
0.334 0.334 0.153 V
0.666 0.666 0.847 V
0.845 0.845 0.521 V
0.038 0.038 0.737 Se
0.294 0.294 0.917 Se
0.340 0.340 0.668 Se
0.378 0.378 0.412 Se
0.622 0.622 0.588 Se
0.660 0.660 0.332 Se
0.706 0.706 0.083 Se
0.962 0.962 0.263 Se
```

Excess energy over the best structure of this formula in the dataset ... 0 meV per atom
E_form (uncorrected) ... -9.5 eV per formula unit
Space group ... C2/m, No. 12

=====

3.
Here is a relaxed structure of RbV4Se8 from Alexandria. Energies are from PBE-GGA.

Geometry as POSCAR:
```
RbV4Se8
1.0
0.000 5.430 5.430
5.430 0.000 5.430
5.430 5.430 0.000
Rb V Se
1 4 8
Direct
0.000 0.000 0.000 Rb
0.166 0.611 0.611 V
0.611 0.166 0.611 V
0.611 0.611 0.166 V
0.611 0.611 0.611 V
0.379 0.379 0.379 Se
0.379 0.379 0.864 Se
0.379 0.864 0.379 Se
0.457 0.848 0.848 Se
0.848 0.457 0.848 Se
0.848 0.848 0.457 Se
0.848 0.848 0.848 Se
0.864 0.379 0.379 Se
```

Excess energy over the best structure of this formula in the dataset ... 200 meV per atom
E_form (uncorrected) ... -6.9 eV per formula unit
Space group ... F-43m, No. 216